(1)
## Be2SnOs (GGA-PBE)

Data for a geometry-optimized Be2SnOs structure.

Values from the calculation:
- E_tot (eV/atom) = -5.15
- total magnetic moment (μB/atom) = 0.000
- symmetry = F-43m (216)

Structure (POSCAR):
```
Be2SnOs
1.0
0.000 3.025 3.025
3.025 0.000 3.025
3.025 3.025 0.000
Be Os Sn
2 1 1
Cartesian
0.000 0.000 0.000
4.538 4.538 4.538
1.513 1.513 1.513
3.025 3.025 3.025
```



(2)
## KTaAgSeS2 (GGA-PBE)

Data for a geometry-optimized KTaAgSeS2 structure.

Values from the calculation:
- E_tot (eV/atom) = -5.26
- total magnetic moment (μB/atom) = 0.066
- symmetry = Cmcm (63)

Structure (POSCAR):
```
KTaAgSeS2
1.0
1.821 -7.582 0.000
1.821 7.582 0.000
0.000 0.000 10.163
K Ta Se Ag S
2 2 2 2 4
Cartesian
1.821 3.881 2.541
1.821 -3.881 7.622
0.000 0.000 5.082
0.000 0.000 0.000
1.821 6.442 7.622
1.821 -6.442 2.541
1.821 -0.773 2.541
1.821 0.773 7.622
1.821 1.733 5.400
1.821 -1.733 0.318
1.821 1.733 9.845
1.821 -1.733 4.764
```



(3)
## TmScI2O2 (GGA-PBE)

Data for a geometry-optimized TmScI2O2 structure.

Values from the calculation:
- E_tot (eV/atom) = -6.60
- total magnetic moment (μB/atom) = 0.001
- symmetry = C2/m (12)

Structure (POSCAR):
```
TmScI2O2
1.0
-4.389 -0.927 -8.929
-2.169 -4.170 -8.818
-5.517 -3.663 3.336
I O Tm Sc
4 4 2 2
Cartesian
-5.364 -3.635 1.074
-6.434 -4.582 -5.187
-5.642 -4.178 -9.224
-6.712 -5.124 -15.485
-9.793 -7.062 -10.481
-5.065 -3.546 -2.280
-7.010 -5.214 -12.131
-2.282 -1.697 -3.930
-4.093 -2.944 -4.177
-7.983 -5.815 -10.234
-5.289 -4.034 -12.093
-6.787 -4.725 -2.318
```



(4)
## ErCoOs (GGA-PBE)

Data for a geometry-optimized ErCoOs structure.

Values from the calculation:
- ΔH_f (0 K) (eV/atom) = 0.3138
- total magnetic moment (μB/atom) = 0.803
- symmetry = F-43m (216)
- ΔE to the lowest computed polymorph (meV/atom) = 619

Structure (POSCAR):
```
ErCoOs
1.0
-2.793 -2.907 -1.438
-4.151 0.995 -0.319
-1.795 0.481 -3.855
Os Co Er
1 1 1
Cartesian
-6.554 -1.073 -4.209
0.000 0.000 0.000
-2.185 -0.358 -1.403
```



(5)
## RbCuHgSe5 (GGA-PBE)

Data for a geometry-optimized RbCuHgSe5 structure.

Values from the calculation:
- E_tot (eV/atom) = -3.09
- symmetry = P2_1/m (11)

Structure (POSCAR):
```
RbCuHgSe5
1.0
6.689 0.000 0.000
0.000 7.523 0.000
-2.981 0.000 9.004
Se Hg Cu Rb
10 2 2 2
Cartesian
-0.185 1.881 5.925
3.142 3.811 6.705
0.566 0.050 2.299
3.142 7.473 6.705
3.893 5.642 3.079
1.990 1.881 3.195
-1.452 1.881 7.925
0.566 3.712 2.299
1.718 5.642 5.809
5.159 5.642 1.079
-1.490 0.000 4.502
-1.490 3.762 4.502
1.384 5.642 3.436
2.324 1.881 5.568
4.761 1.881 0.470
-1.053 5.642 8.534
```



(6)
## TmPdPbSe3 (GGA-PBE)

Data for a geometry-optimized TmPdPbSe3 structure.

Values from the calculation:
- total magnetic moment (μB/atom) = 0.001
- symmetry = Cmcm (63)
- ΔE to the lowest computed polymorph (meV/atom) = 4

Structure (POSCAR):
```
TmPdPbSe3
1.0
0.146 4.192 6.063
-3.153 -1.732 -6.435
-6.270 -6.917 4.934
Tm Se Pd Pb
2 6 2 2
Cartesian
-3.135 -3.459 2.467
0.000 0.000 0.000
-4.471 -1.720 4.292
-4.806 -2.737 0.270
-4.455 -2.985 -4.196
-4.822 -1.473 8.757
-7.004 -4.514 6.285
-2.273 0.057 -1.723
-3.183 -0.701 0.622
-6.094 -3.756 3.940
-7.142 -5.639 -0.031
-2.135 1.181 4.592
```



(7)
## PmTmU (GGA-PBE)

Data for a geometry-optimized PmTmU structure.

Values from the calculation:
- ΔH_f (0 K) (eV/atom) = 1.2686
- total magnetic moment (μB/atom) = 1.149
- symmetry = F-43m (216)
- ΔE to the lowest computed polymorph (meV/atom) = 0

Structure (POSCAR):
```
PmTmU
1.0
1.290 -4.871 1.512
1.727 -0.864 4.894
-3.032 -2.575 3.444
Pm Tm U
1 1 1
Cartesian
-0.004 -2.077 2.462
0.000 0.000 0.000
-0.011 -6.232 7.387
```



(8)
## Sr2AgAs (GGA-PBE)

Data for a geometry-optimized Sr2AgAs structure.

Values from the calculation:
- E_tot (eV/atom) = -3.40
- symmetry = Cmcm (63)

Structure (POSCAR):
```
Sr2AgAs
1.0
3.732 0.846 9.859
-6.357 2.242 -8.150
-3.759 -4.182 1.782
As Sr Ag
2 4 2
Cartesian
-7.345 -1.148 -3.546
0.962 0.053 7.037
-1.231 -1.994 7.369
-5.153 0.899 -3.878
-3.070 0.611 -0.160
-3.314 -1.706 3.651
0.512 -2.236 10.481
-6.896 1.141 -6.990
```



(9)
## NdTlHg (GGA-PBE)

Data for a geometry-optimized NdTlHg structure.

Values from the calculation:
- E_tot (eV/atom) = -2.56
- total magnetic moment (μB/atom) = 0.000
- symmetry = F-43m (216)

Structure (POSCAR):
```
NdTlHg
1.0
0.000 3.652 3.652
3.652 0.000 3.652
3.652 3.652 0.000
Hg Nd Tl
1 1 1
Cartesian
1.826 1.826 1.826
0.000 0.000 0.000
5.478 5.478 5.478
```



(10)
## YHoPb (GGA-PBE)

Data for a geometry-optimized YHoPb structure.

Values from the calculation:
- E_tot (eV/atom) = -5.13
- total magnetic moment (μB/atom) = 0.015
- symmetry = F-43m (216)

Structure (POSCAR):
```
YHoPb
1.0
4.438 0.447 2.589
0.601 3.783 3.454
0.171 -1.108 5.035
Y Pb Ho
1 1 1
Cartesian
3.908 2.341 8.309
0.000 0.000 0.000
1.303 0.780 2.770
```



(11)
## NpTlCuTe3 (GGA-PBE)

Data for a geometry-optimized NpTlCuTe3 structure.

Values from the calculation:
- E_tot (eV/atom) = -5.20
- total magnetic moment (μB/atom) = 0.502
- symmetry = Cmcm (63)

Structure (POSCAR):
```
NpTlCuTe3
1.0
7.438 0.083 3.031
-7.749 1.994 0.702
-2.030 -9.739 5.249
Np Cu Tl Te
2 2 2 6
Cartesian
-1.171 -3.831 4.492
-0.156 1.039 1.867
6.432 -2.289 4.267
-8.773 -5.373 4.716
-4.395 -0.926 2.607
2.054 -6.735 6.376
-7.620 -7.406 5.943
5.279 -0.256 3.040
-6.853 -3.727 3.960
0.415 -1.532 3.345
4.512 -3.935 5.023
-2.757 -6.130 5.639
```



(12)
## YLu2Zn (GGA-PBE)

Data for a geometry-optimized YLu2Zn structure.

Values from the calculation:
- ΔH_f (0 K) (eV/atom) = 0.0401
- total magnetic moment (μB/atom) = 0.000
- symmetry = F-43m (216)

Structure (POSCAR):
```
YLu2Zn
1.0
0.294 0.549 5.218
-4.203 -1.009 2.989
-0.063 -4.246 3.097
Y Lu Zn
1 2 1
Cartesian
-0.993 -1.176 2.826
0.000 0.000 0.000
-2.979 -3.529 8.478
-1.986 -2.353 5.652
```